Model one:
Here is a relaxed YV3In crystal from the Alexandria database. Energies are from PBE.

Structure (CIF):
```
data_YV3In
_chemical_formula_sum 'Y1 V3 In1'
_symmetry_space_group_name_H-M 'P 1'
_symmetry_Int_Tables_number 1
_cell_length_a 5.049
_cell_length_b 5.049
_cell_length_c 5.049
_cell_angle_alpha 90.00
_cell_angle_beta 90.00
_cell_angle_gamma 90.00
loop_
_symmetry_equiv_pos_as_xyz
'x,y,z'
loop_
_atom_site_label
_atom_site_fract_x
_atom_site_fract_y
_atom_site_fract_z
Y1 0.500 0.500 0.500
In1 0.000 0.000 0.000
V1 0.000 0.500 0.000
V2 0.000 0.000 0.500
V3 0.500 0.000 0.000
```

Space group ... Pm-3m

***

Model two:
Here is a relaxed YV3In crystal from the Alexandria database. Energies are from PBE.

Structure (CIF):
```
data_YV3In
_chemical_formula_sum 'Y1 V3 In1'
_symmetry_space_group_name_H-M 'P 1'
_symmetry_Int_Tables_number 1
_cell_length_a 4.684
_cell_length_b 4.684
_cell_length_c 4.684
_cell_angle_alpha 90.00
_cell_angle_beta 90.00
_cell_angle_gamma 90.00
loop_
_symmetry_equiv_pos_as_xyz
'x,y,z'
loop_
_atom_site_label
_atom_site_fract_x
_atom_site_fract_y
_atom_site_fract_z
Y1 0.000 0.000 0.000
In1 0.500 0.500 0.500
V1 0.000 0.500 0.000
V2 0.000 0.000 0.500
V3 0.500 0.000 0.000
```

Space group ... Pm-3m

***

Most stable: model one

***

Model one:
Here is a relaxed YV2In2 crystal from the Alexandria database. Energies are from PBE.

Structure (CIF):
```
data_YV2In2
_chemical_formula_sum 'Y1 V2 In2'
_symmetry_space_group_name_H-M 'P 1'
_symmetry_Int_Tables_number 1
_cell_length_a 3.914
_cell_length_b 3.914
_cell_length_c 7.354
_cell_angle_alpha 74.57
_cell_angle_beta 74.57
_cell_angle_gamma 90.00
loop_
_symmetry_equiv_pos_as_xyz
'x,y,z'
loop_
_atom_site_label
_atom_site_fract_x
_atom_site_fract_y
_atom_site_fract_z
Y1 0.000 0.000 0.000
In1 0.393 0.393 0.214
In2 0.607 0.607 0.786
V1 0.750 0.250 0.500
V2 0.250 0.750 0.500
```

Space group ... I4/mmm

***

Model two:
Here is a relaxed YV2In2 crystal from the Alexandria database. Energies are from PBE.

Structure (CIF):
```
data_YV2In2
_chemical_formula_sum 'Y2 V4 In4'
_symmetry_space_group_name_H-M 'P 1'
_symmetry_Int_Tables_number 1
_cell_length_a 8.086
_cell_length_b 8.086
_cell_length_c 3.131
_cell_angle_alpha 90.00
_cell_angle_beta 90.00
_cell_angle_gamma 90.00
loop_
_symmetry_equiv_pos_as_xyz
'x,y,z'
loop_
_atom_site_label
_atom_site_fract_x
_atom_site_fract_y
_atom_site_fract_z
Y1 0.000 0.000 0.000
Y2 0.500 0.500 0.000
In1 0.197 0.697 0.500
In2 0.697 0.803 0.500
In3 0.803 0.303 0.500
In4 0.303 0.197 0.500
V1 0.412 0.912 0.000
V2 0.912 0.588 0.000
V3 0.588 0.088 0.000
V4 0.088 0.412 0.000
```

Space group ... P4/mbm

***

Most stable: model one

***

Model one:
Here is a relaxed InW2 crystal from the Alexandria database. Energies are from PBE.

Structure (CIF):
```
data_InW2
_chemical_formula_sum 'In4 W8'
_symmetry_space_group_name_H-M 'P 1'
_symmetry_Int_Tables_number 1
_cell_length_a 4.367
_cell_length_b 5.815
_cell_length_c 8.537
_cell_angle_alpha 90.00
_cell_angle_beta 90.00
_cell_angle_gamma 90.00
loop_
_symmetry_equiv_pos_as_xyz
'x,y,z'
loop_
_atom_site_label
_atom_site_fract_x
_atom_site_fract_y
_atom_site_fract_z
W1 0.250 0.062 0.713
W2 0.750 0.438 0.213
W3 0.250 0.562 0.787
W4 0.750 0.938 0.287
W5 0.250 0.133 0.410
W6 0.750 0.367 0.910
W7 0.250 0.633 0.090
W8 0.750 0.867 0.590
In1 0.250 0.638 0.422
In2 0.750 0.862 0.922
In3 0.250 0.138 0.078
In4 0.750 0.362 0.578
```

Space group ... Pnma

***

Model two:
Here is a relaxed InW2 crystal from the Alexandria database. Energies are from PBE.

Structure (CIF):
```
data_InW2
_chemical_formula_sum 'In1 W2'
_symmetry_space_group_name_H-M 'P 1'
_symmetry_Int_Tables_number 1
_cell_length_a 5.329
_cell_length_b 5.328
_cell_length_c 5.328
_cell_angle_alpha 143.40
_cell_angle_beta 143.40
_cell_angle_gamma 52.72
loop_
_symmetry_equiv_pos_as_xyz
'x,y,z'
loop_
_atom_site_label
_atom_site_fract_x
_atom_site_fract_y
_atom_site_fract_z
In1 0.000 0.000 0.000
W1 0.683 0.684 0.000
W2 0.317 0.316 0.000
```

Space group ... I4/mmm

***

Most stable: model two